Entry 1:
# PBE Mg5Sc3, optimized geometry
# - ΔE to the lowest computed polymorph (meV per atom) = 2.1
# - formation energy (meV/atom) = -34
data_Mg5Sc3
_symmetry_space_group_name_H-M 'F m m m'
_symmetry_Int_Tables_number 69
_symmetry_space_group_name_Hall '-F 2 2'
_cell_length_a 7.124
_cell_length_b 7.139
_cell_length_c 14.450
_cell_angle_alpha 90.00
_cell_angle_beta 90.00
_cell_angle_gamma 90.00
loop_
_atom_site_label
_atom_site_type_symbol
_atom_site_fract_x
_atom_site_fract_y
_atom_site_fract_z
Mg1 Mg 0.000 0.000 0.000
Mg2 Mg 0.250 0.250 0.124
Sc1 Sc 0.000 0.000 0.247
Sc2 Sc 0.000 0.000 0.500

***

Entry 2:
# PBE SrNd3Rh4O12, optimized geometry
# - E_form (uncorrected) (eV per atom) = -1.881
data_SrNd3Rh4O12
_symmetry_space_group_name_H-M 'I m -3'
_symmetry_Int_Tables_number 204
_symmetry_space_group_name_Hall '-I 2 2 3'
_cell_length_a 7.983
_cell_length_b 7.983
_cell_length_c 7.983
_cell_angle_alpha 90.00
_cell_angle_beta 90.00
_cell_angle_gamma 90.00
loop_
_atom_site_label
_atom_site_type_symbol
_atom_site_fract_x
_atom_site_fract_y
_atom_site_fract_z
Sr1 Sr 0.000 0.000 0.000
Nd1 Nd 0.000 0.000 0.500
Rh1 Rh 0.250 0.250 0.250
O1 O 0.000 0.213 0.297

***

Entry 3:
# PBE TmMgZrMo, optimized geometry
# - formation energy (meV/atom) = 115
data_TmMgZrMo
_symmetry_space_group_name_H-M 'F -4 3 m'
_symmetry_Int_Tables_number 216
_symmetry_space_group_name_Hall 'F -4 2 3'
_cell_length_a 6.961
_cell_length_b 6.961
_cell_length_c 6.961
_cell_angle_alpha 90.00
_cell_angle_beta 90.00
_cell_angle_gamma 90.00
loop_
_atom_site_label
_atom_site_type_symbol
_atom_site_fract_x
_atom_site_fract_y
_atom_site_fract_z
Tm1 Tm 0.000 0.000 0.000
Mg1 Mg 0.250 0.250 0.250
Zr1 Zr 0.000 0.000 0.500
Mo1 Mo 0.250 0.250 0.750

***

Entry 4:
# PBE CoRuPb2, optimized geometry
# - ΔE to the lowest computed polymorph (meV per atom) = 10.3
# - formation energy (meV/atom) = 370
data_CoRuPb2
_symmetry_space_group_name_H-M 'R 3 m'
_symmetry_Int_Tables_number 160
_symmetry_space_group_name_Hall 'R 3 -2"'
_cell_length_a 4.0284
_cell_length_b 4.0284
_cell_length_c 19.4756
_cell_angle_alpha 90.00
_cell_angle_beta 90.00
_cell_angle_gamma 120.00
loop_
_atom_site_label
_atom_site_type_symbol
_atom_site_fract_x
_atom_site_fract_y
_atom_site_fract_z
Co1 Co 0.0000 0.0000 0.0000
Ru1 Ru 0.0000 0.0000 0.3147
Pb1 Pb 0.0000 0.0000 0.5591
Pb2 Pb 0.0000 0.0000 0.7506

***

| no. | calculated density (Mg/m³) | total moment (μB/atom) |
| --- | --- | --- |
| 1 | 2.3 | 0.056 |
| 2 | 7.3 | 0.000 |
| 3 | 7.5 | 0.000 |
| 4 | 10.5 | 0.423 |